[1]
An optimized crystal structure of Pm10NdY6. Source: Alexandria, functional PBE.

DOS at the Fermi energy	1.57	states/eV per atom
formation energy from the elements	13.0	kJ per mole of atoms

Cell: 6.9233 9.8688 9.8688 Å, 120.00 90.00 90.00°
Fractional positions:
Pm  0.8191  0.7235  0.7235
Pm  0.8191  0.0000  0.2765
Pm  0.8191  0.2765  0.0000
Pm  0.1809  0.2765  0.2765
Pm  0.1809  0.0000  0.7235
Pm  0.1809  0.7235  0.0000
Pm  0.5000  0.3333  0.6667
Pm  0.5000  0.6667  0.3333
Pm  0.0000  0.6667  0.3333
Pm  0.0000  0.3333  0.6667
Nd  0.5000  0.0000  0.0000
Y  0.6913  0.3714  0.3714
Y  0.6913  0.0000  0.6286
Y  0.6913  0.6286  0.0000
Y  0.3087  0.6286  0.6286
Y  0.3087  0.0000  0.3714
Y  0.3087  0.3714  0.0000


[2]
An optimized crystal structure of PmNd2Sm2Dy2. Source: Alexandria, functional PBE.

DOS at the Fermi energy	1.37	states/eV per atom
formation energy from the elements	1.4	kJ per mole of atoms

Cell: 5.1203 6.2645 8.1141 Å, 97.38 90.00 114.12°
Fractional positions:
Pm  0.0000  0.0000  0.0000
Nd  0.5716  0.1432  0.7164
Nd  0.4284  0.8568  0.2836
Sm  0.1434  0.2868  0.4291
Sm  0.8566  0.7132  0.5709
Dy  0.7145  0.4290  0.1422
Dy  0.2855  0.5710  0.8578


[3]
An optimized crystal structure of Tm4B2Cl5. Source: Alexandria, functional PBE.

formation energy without anion corrections	-1.43	eV per atom
DOS at the Fermi energy	0.23	states/eV per atom

Cell: 3.7109 7.5057 10.9927 Å, 109.96 99.72 90.00°
Fractional positions:
Tm  0.0000  0.2919  0.0000
Tm  0.6507  0.6507  0.3013
Tm  0.0000  0.7081  0.0000
Tm  0.3493  0.3493  0.6987
B  0.4610  0.4610  0.9219
B  0.5390  0.5390  0.0781
Cl  0.8335  0.0859  0.6671
Cl  0.8335  0.5811  0.6671
Cl  0.1665  0.4189  0.3329
Cl  0.1665  0.9141  0.3329
Cl  0.5000  0.0000  0.0000


[4]
An optimized crystal structure of CuSnBi2Ir. Source: Alexandria, functional PBE.

DOS at the Fermi energy	0.86	states/eV per atom
formation energy from the elements	49.5	kJ per mole of atoms

Cell: 5.3196 5.3196 4.8442 Å, 90.00 90.00 90.00°
Fractional positions:
Ir  0.0000  0.0000  0.0000
Bi  0.0000  0.5000  0.0000
Bi  0.5000  0.0000  0.0000
Cu  0.0000  0.0000  0.5000
Sn  0.5000  0.5000  0.5000


[5]
An optimized crystal structure of Rb2MnHgI6. Source: Alexandria, functional PBE.

formation energy without anion corrections	-0.75	eV per atom
DOS at the Fermi energy	0.09	states/eV per atom
energy relative to the lowest polymorph listed for this composition	31	meV per atom

Cell: 8.3765 8.3765 8.4424 Å, 60.26 60.26 90.00°
Fractional positions:
I  0.2711  0.2711  0.4578
I  0.7289  0.7289  0.5422
I  0.2521  0.2521  0.0000
I  0.7479  0.7479  0.0000
I  0.7479  0.2521  0.0000
I  0.2521  0.7479  0.0000
Mn  0.5000  0.5000  0.0000
Hg  0.0000  0.0000  0.0000
Rb  0.7500  0.2500  0.5000
Rb  0.2500  0.7500  0.5000


[6]
An optimized crystal structure of KNa2PaS4. Source: Alexandria, functional PBE.

formation energy without anion corrections	-1.26	eV per atom
DOS at the Fermi energy	0.00	states/eV per atom

Cell: 7.3840 6.7564 6.7564 Å, 66.25 56.89 56.89°
Fractional positions:
K  0.0000  0.0000  0.0000
Na  0.2501  0.2499  0.2499
Na  0.7499  0.7501  0.7501
Pa  0.5000  0.5000  0.5000
S  0.4448  0.1405  0.5552
S  0.1405  0.8594  0.4448
S  0.8595  0.5552  0.1406
S  0.5552  0.4448  0.8595


[7]
An optimized crystal structure of SiNi2Ru. Source: Alexandria, functional PBE.

formation energy without anion corrections	-0.10	eV per atom
DOS at the Fermi energy	1.09	states/eV per atom

Cell: 8.0725 8.0725 8.0725 Å, 18.87 18.87 18.87°
Fractional positions:
Ni  0.0069  0.0069  0.0069
Ni  0.4931  0.4931  0.4931
Ru  0.2500  0.2500  0.2500
Si  0.7500  0.7500  0.7500


[8]
An optimized crystal structure of Ba2CrFeSi. Source: Alexandria, functional PBE.

formation energy without anion corrections	1.00	eV per atom
DOS at the Fermi energy	1.07	states/eV per atom

Cell: 5.7856 4.4530 5.7856 Å, 90.00 90.00 90.00°
Fractional positions:
Cr  0.5000  0.5000  0.5000
Si  0.0000  0.5000  0.0000
Ba  0.0000  0.0000  0.5000
Ba  0.5000  0.0000  0.0000
Fe  0.0000  0.0000  0.0000


What is the DOS at the Fermi energy in the second record?
1.37 states/eV per atom


Which formula does entry 7 have?
SiNi2Ru